Record 1
Computed, not measured: a crystal of AsRh relaxed with PBEsol at the SCAN level of DFT.

Results
Formation energy ... -0.163 eV per atom
Final energy ... -27.144 eV/atom

Unit cell a=3.560 b=3.560 c=3.560 alpha=60.00 beta=60.00 gamma=60.00
Atoms (fractional coordinates):
As: 0.000 0.000 0.000
Rh: 0.500 0.500 0.500

Record 2
Computed, not measured: a crystal of K5Au relaxed with PBEsol at the SCAN level of DFT.

Results
Formation energy ... -0.099 eV per atom
Final energy ... -18.566 eV/atom
Polymorph energy (0 for the lowest one) ... 23 meV per atom

Unit cell a=16.154 b=16.154 c=5.087 alpha=90.00 beta=90.00 gamma=165.10
Atoms (fractional coordinates):
K: 0.000 0.000 0.000
K: 0.087 0.913 0.500
K: 0.312 0.688 0.000
K: 0.688 0.312 0.000
K: 0.913 0.087 0.500
Au: 0.500 0.500 0.500

Record 3
Computed, not measured: a crystal of CdHgBr2 relaxed with PBEsol at the SCAN level of DFT.

Results
Final energy ... -35.066 eV/atom
Polymorph energy (0 for the lowest one) ... 0 meV per atom
Raw formation energy ... -0.691 eV/atom

Unit cell a=9.479 b=9.479 c=9.479 alpha=23.81 beta=23.81 gamma=23.81
Atoms (fractional coordinates):
Cd: 0.000 0.000 0.000
Hg: 0.500 0.500 0.500
Br: 0.276 0.276 0.276
Br: 0.724 0.724 0.724

Record 4
Computed, not measured: a crystal of SrHfAs2 relaxed with PBEsol at the SCAN level of DFT.

Results
Formation energy ... -0.544 eV per atom
Final energy ... -31.877 eV/atom

Unit cell a=4.956 b=4.956 c=4.956 alpha=60.00 beta=60.00 gamma=60.00
Atoms (fractional coordinates):
Sr: 0.000 0.000 0.000
Hf: 0.500 0.500 0.500
As: 0.250 0.250 0.250
As: 0.750 0.750 0.750

Record 5
Computed, not measured: a crystal of Zr2ZnCo2 relaxed with PBEsol at the SCAN level of DFT.

Results
Formation energy ... -0.242 eV per atom
Final energy ... -22.147 eV/atom

Unit cell a=6.766 b=6.766 c=3.343 alpha=90.00 beta=90.00 gamma=90.00
Atoms (fractional coordinates):
Zr: 0.177 0.323 0.000
Zr: 0.323 0.823 0.000
Zr: 0.677 0.177 0.000
Zr: 0.823 0.677 0.000
Zn: 0.000 0.000 0.500
Zn: 0.500 0.500 0.500
Co: 0.126 0.626 0.500
Co: 0.374 0.126 0.500
Co: 0.626 0.874 0.500
Co: 0.874 0.374 0.500

Record 6
Computed, not measured: a crystal of KBaRe2F relaxed with PBEsol at the SCAN level of DFT.

Results
Final energy ... -37.150 eV/atom
Raw formation energy ... 1.573 eV/atom

Unit cell a=6.273 b=6.273 c=4.840 alpha=90.00 beta=90.00 gamma=90.00
Atoms (fractional coordinates):
K: 0.000 0.000 0.000
Ba: 0.500 0.500 0.500
Re: 0.000 0.500 0.500
Re: 0.500 0.000 0.500
F: 0.500 0.500 0.000

Record 7
Computed, not measured: a crystal of MnCdSe relaxed with PBEsol at the SCAN level of DFT.

Results
Final energy ... -23.014 eV/atom
Raw formation energy ... -0.098 eV/atom

Unit cell a=4.433 b=4.433 c=4.433 alpha=60.00 beta=60.00 gamma=60.00
Atoms (fractional coordinates):
Mn: 0.000 0.000 0.000
Cd: 0.250 0.250 0.250
Se: 0.750 0.750 0.750

Record 8
Computed, not measured: a crystal of CaLaCd2 relaxed with PBEsol at the SCAN level of DFT.

Results
Formation energy ... -0.320 eV per atom
Final energy ... -28.719 eV/atom
Polymorph energy (0 for the lowest one) ... 164 meV per atom

Unit cell a=6.520 b=6.520 c=6.520 alpha=147.76 beta=130.74 gamma=60.10
Atoms (fractional coordinates):
Ca: 0.000 0.000 0.000
La: 0.706 0.206 0.500
Cd: 0.257 0.757 0.500
Cd: 0.456 0.456 0.000

Record 9
Computed, not measured: a crystal of CoC3 relaxed with PBEsol at the SCAN level of DFT.

Results
Formation energy ... 3.101 eV per atom
Final energy ... -8.800 eV/atom
Polymorph energy (0 for the lowest one) ... 1665 meV per atom

Unit cell a=3.075 b=3.075 c=3.075 alpha=90.00 beta=90.00 gamma=90.00
Atoms (fractional coordinates):
Co: 0.000 0.000 0.000
C: 0.000 0.500 0.500
C: 0.500 0.000 0.500
C: 0.500 0.500 0.000

Record 10
Computed, not measured: a crystal of MoOs3 relaxed with PBEsol at the SCAN level of DFT.

Results
Formation energy ... 0.010 eV per atom
Final energy ... -62.621 eV/atom

Unit cell a=3.849 b=3.849 c=3.849 alpha=90.00 beta=90.00 gamma=90.00
Atoms (fractional coordinates):
Mo: 0.000 0.000 0.000
Os: 0.000 0.500 0.500
Os: 0.500 0.000 0.500
Os: 0.500 0.500 0.000

Record 11
Computed, not measured: a crystal of SbTe2W relaxed with PBEsol at the SCAN level of DFT.

Results
Final energy ... -44.458 eV/atom
Raw formation energy ... 0.905 eV/atom

Unit cell a=12.367 b=12.367 c=12.367 alpha=14.19 beta=14.19 gamma=14.19
Atoms (fractional coordinates):
Sb: 0.000 0.000 0.000
Te: 0.426 0.426 0.426
Te: 0.574 0.574 0.574
W: 0.500 0.500 0.500

Record 12
Computed, not measured: a crystal of CaCuHg relaxed with PBEsol at the SCAN level of DFT.

Results
Formation energy ... -0.361 eV per atom
Final energy ... -31.371 eV/atom

Unit cell a=4.526 b=4.526 c=3.679 alpha=90.00 beta=90.00 gamma=120.00
Atoms (fractional coordinates):
Ca: 0.000 0.000 0.000
Cu: 0.333 0.667 0.500
Hg: 0.667 0.333 0.500

What did the eighth record say?
Computed, not measured: a crystal of CaLaCd2 relaxed with PBEsol at the SCAN level of DFT.

Results
Formation energy ... -0.320 eV per atom
Final energy ... -28.719 eV/atom
Polymorph energy (0 for the lowest one) ... 164 meV per atom

Unit cell a=6.520 b=6.520 c=6.520 alpha=147.76 beta=130.74 gamma=60.10
Atoms (fractional coordinates):
Ca: 0.000 0.000 0.000
La: 0.706 0.206 0.500
Cd: 0.257 0.757 0.500
Cd: 0.456 0.456 0.000

Repeat the fourth record exactly.
Computed, not measured: a crystal of SrHfAs2 relaxed with PBEsol at the SCAN level of DFT.

Results
Formation energy ... -0.544 eV per atom
Final energy ... -31.877 eV/atom

Unit cell a=4.956 b=4.956 c=4.956 alpha=60.00 beta=60.00 gamma=60.00
Atoms (fractional coordinates):
Sr: 0.000 0.000 0.000
Hf: 0.500 0.500 0.500
As: 0.250 0.250 0.250
As: 0.750 0.750 0.750

The lowest final energy belongs to which entry?
MoOs3

Among the records above, which one has the lowest final energy?
MoOs3